1.
Compound: KCrCo2
Source: Alexandria
Functional: PBE-GGA
Structure: relaxed

Cell lengths 2.852, 2.852, 7.955 Å; angles 90.00, 90.00, 90.00 degrees
Space group P4/mmm (No. 123)
Unique sites:
1 K 0.000 0.000 0.000 x1
2 Cr 0.000 0.000 0.500 x1
3 Co 0.500 0.500 0.341 x2

- calculated volume (Å³/cell) = 64.7
- polymorph energy (0 for the lowest one) (kJ/mol of formula units) = 0
- DFT formation energy (eV per atom) = 0.680
- DOS(E_F) (states/eV/f.u.) = 5.82
- final energy (eV per cell) = -22.2


2.
Compound: K2CrCo2
Source: Alexandria
Functional: PBE-GGA
Structure: relaxed

Cell lengths 9.103, 9.103, 2.574 Å; angles 90.00, 90.00, 90.00 degrees
Space group P4/mbm (No. 127)
Unique sites:
1 K 0.121 0.379 0.000 x4
2 Cr 0.000 0.000 0.000 x2
3 Co 0.185 0.685 0.500 x4

- calculated volume (Å³/cell) = 213.2
- polymorph energy (0 for the lowest one) (kJ/mol of formula units) = 255
- DFT formation energy (eV per atom) = 1.871
- DOS(E_F) (states/eV/f.u.) = 10.97
- final energy (eV per cell) = -33.4


3.
Compound: KCrCo2
Source: Alexandria
Functional: PBE-GGA
Structure: relaxed

Cell lengths 2.6473, 2.6473, 29.1664 Å; angles 90.00, 90.00, 120.00 degrees
Space group R3m (No. 160, hexagonal axes)
Unique sites:
1 K 0.0000 0.0000 0.0000 x3
2 Cr 0.0000 0.0000 0.2282 x3
3 Co 0.0000 0.0000 0.4968 x3
4 Co 0.0000 0.0000 0.7630 x3

- calculated volume (Å³/cell) = 177.0
- polymorph energy (0 for the lowest one) (kJ/mol of formula units) = 104
- DFT formation energy (eV per atom) = 0.949
- DOS(E_F) (states/eV/f.u.) = 4.31
- final energy (eV per cell) = -63.4


4.
Compound: KCrCo2
Source: Alexandria
Functional: PBE-GGA
Structure: relaxed

Cell lengths 3.006, 3.006, 8.146 Å; angles 90.00, 90.00, 90.00 degrees
Space group P4mm (No. 99)
Unique sites:
1 K 0.000 0.000 0.000 x1
2 Cr 0.500 0.500 0.640 x1
3 Co 0.000 0.000 0.451 x1
4 Co 0.500 0.500 0.321 x1

- calculated volume (Å³/cell) = 73.6
- polymorph energy (0 for the lowest one) (kJ/mol of formula units) = 46
- DFT formation energy (eV per atom) = 0.799
- DOS(E_F) (states/eV/f.u.) = 5.46
- final energy (eV per cell) = -21.7


5.
Compound: K2CrCoMo
Source: Alexandria
Functional: PBE-GGA
Structure: relaxed

Cell lengths 6.267, 6.267, 4.400 Å; angles 90.00, 90.00, 90.00 degrees
Space group P4/mmm (No. 123)
Unique sites:
1 K 0.000 0.500 0.000 x2
2 Cr 0.000 0.000 0.500 x1
3 Co 0.500 0.500 0.000 x1
4 Mo 0.500 0.500 0.500 x1

- calculated volume (Å³/cell) = 172.8
- DFT formation energy (eV per atom) = 1.633
- DOS(E_F) (states/eV/f.u.) = 6.69
- final energy (eV per cell) = -21.6